No. 1
Below is a crystal of LiInRe2 relaxed with PBEsol, with properties calculated at the meta-GGA SCAN level.

Formation energy in kJ/mol of atoms: 63.5
Mass density in Mg/m³: 13.60

```
4
Lattice="3.171 0.000 0.000 0.000 3.171 0.000 0.000 0.000 5.999" Properties=species:S:1:pos:R:3 pbc="T T T"
Li 0.000 0.000 0.000
In 0.000 0.000 2.999
Re 1.586 1.586 1.166
Re 1.586 1.586 4.833
```

=====

No. 2
Below is a crystal of HgRh2Se relaxed with PBEsol, with properties calculated at the meta-GGA SCAN level.

Mass density in Mg/m³: 12.45
Formation energy from raw total energies in meV per atom: 36

```
4
Lattice="1.543 0.891 7.843 -1.543 0.891 7.843 0.000 -1.782 7.843" Properties=species:S:1:pos:R:3 pbc="T T T"
Hg 0.000 0.000 0.000
Rh 0.000 0.000 5.652
Rh 0.000 0.000 17.877
Se 0.000 0.000 11.765
```

=====

No. 3
Below is a crystal of K2NaAg relaxed with PBEsol, with properties calculated at the meta-GGA SCAN level.

Formation energy in kJ/mol of atoms: 12.7
Mass density in Mg/m³: 1.76

```
8
Lattice="-5.783 5.783 2.953 5.783 -5.783 2.953 5.783 5.783 -2.953" Properties=species:S:1:pos:R:3 pbc="T T T"
K 1.368 2.892 0.738
K -2.892 4.415 2.214
K -1.368 8.675 0.738
K 2.892 7.152 2.214
Na 5.783 0.000 1.476
Na 0.000 0.000 2.953
Ag 0.000 0.000 0.000
Ag 0.000 5.783 1.476
```

=====

No. 4
Below is a crystal of LiVBO4 relaxed with PBEsol, with properties calculated at the meta-GGA SCAN level.

Mass density in Mg/m³: 3.00
Formation energy from raw total energies in meV per atom: -2526

```
7
Lattice="-2.268 2.268 3.565 2.268 -2.268 3.565 2.268 2.268 -3.565" Properties=species:S:1:pos:R:3 pbc="T T T"
Li 0.000 0.000 0.000
V 0.000 0.000 3.565
B 2.268 0.000 1.783
O 1.318 -0.758 2.619
O 1.510 0.949 0.946
O 0.949 3.025 -0.946
O 0.758 1.318 4.511
```

=====

No. 5
Below is a crystal of Mn2Ir relaxed with PBEsol, with properties calculated at the meta-GGA SCAN level.

Formation energy in kJ/mol of atoms: 56.5
Mass density in Mg/m³: 13.27

```
6
Lattice="-1.685 1.685 6.655 1.685 -1.685 6.655 1.685 1.685 -6.655" Properties=species:S:1:pos:R:3 pbc="T T T"
Mn 1.685 0.843 0.573
Mn 1.685 0.843 2.755
Mn 0.000 0.843 3.900
Mn 0.000 0.843 6.082
Ir 1.685 -0.843 4.991
Ir 0.000 2.528 1.664
```

=====

No. 6
Below is a crystal of K2RbYV2O8 relaxed with PBEsol, with properties calculated at the meta-GGA SCAN level.

Mass density in Mg/m³: 3.47
Formation energy from raw total energies in meV per atom: -2833

```
14
Lattice="5.918 0.000 0.000 -2.959 5.125 0.000 0.000 0.000 7.606" Properties=species:S:1:pos:R:3 pbc="T T T"
K 0.000 3.417 1.441
K 2.959 1.708 6.165
Rb 0.000 0.000 3.803
Y 0.000 0.000 0.000
V 0.000 3.417 5.669
V 2.959 1.708 1.938
O 0.000 1.791 6.278
O -1.408 4.230 6.278
O 0.000 3.417 4.013
O 1.551 0.896 1.328
O 1.408 4.230 6.278
O 2.959 1.708 3.593
O 4.367 0.896 1.328
O 2.959 3.334 1.328
```